Below is a geometry-optimized La3AuC structure, with properties calculated at the PBE-GGA level.

Cell lengths 8.250, 8.250, 8.250 Å; angles 48.28, 48.28, 48.28 degrees
Element x y z (fractional)
Au (0.659, 0.659, 0.659)
Au (0.341, 0.341, 0.341)
La (0.071, 0.789, 0.435)
La (0.789, 0.435, 0.071)
La (0.565, 0.929, 0.211)
La (0.211, 0.565, 0.929)
La (0.929, 0.211, 0.565)
La (0.435, 0.071, 0.789)
C (0.163, 0.163, 0.163)
C (0.837, 0.837, 0.837)

Values from the calculation:
The energy comes out at -5.76 eV per atom. The formation energy from the elements comes out at -1.511 eV per formula unit. The value obtained for the total moment is 0.00 μB per formula unit. Its symmetry is R-3, No. 148.